1.
Li4Ge2PdPt (GGA-PBE, optimized geometry); uncorrected energy = -4.110 eV/atom; total magnetic moment = 0.005 Bohr magnetons per cell; mass density = 7.16 g/cm3; symmetry = P-4m2
1.0
4.270 0.000 0.000
0.000 4.270 0.000
0.000 0.000 6.036
Li Ge Pd Pt
4 2 1 1
Cartesian
0.000 0.000 0.000
0.000 2.135 4.526
2.135 0.000 1.509
2.135 2.135 3.018
0.000 2.135 1.504
2.135 0.000 4.532
0.000 0.000 3.018
2.135 2.135 0.000

2.
Li2Y2Ge2PdPt (GGA-PBE, optimized geometry); uncorrected energy = -5.433 eV/atom; total magnetic moment = 0.003 Bohr magnetons per cell; mass density = 7.61 g/cm3; symmetry = P-4m2
1.0
4.618 0.000 0.000
0.000 4.618 0.000
0.000 0.000 6.535
Li Y Ge Pd Pt
2 2 2 1 1
Cartesian
0.000 0.000 0.000
2.309 2.309 3.268
0.000 2.309 1.629
2.309 0.000 4.906
0.000 2.309 4.894
2.309 0.000 1.641
0.000 0.000 3.268
2.309 2.309 0.000

Among the records above, which one has the highest uncorrected energy?
Li4Ge2PdPt

Look up the uncorrected energy of the second one.
-5.433 eV/atom